Compound: Tl6Hg5
Source: Alexandria via LeMat-Bulk
Functional: GGA-PBE
Structure: relaxed

final energy = -1.422 eV/atom
density of states at the Fermi level = 0.369 states/eV/atom

```
Tl6Hg5
1.0
6.5714 -0.7180 -1.2166
-3.8124 5.4004 -1.2166
-0.1139 -0.1934 10.1801
Tl Hg
6 5
direct
0.9610 0.6632 0.8078 Tl
0.1968 0.1968 0.6892 Tl
0.3368 0.0390 0.1922 Tl
0.6632 0.9610 0.8078 Tl
0.8032 0.8032 0.3108 Tl
0.0390 0.3368 0.1922 Tl
0.5000 0.5000 0.5000 Hg
0.7725 0.2275 0.5000 Hg
0.6270 0.3730 0.0000 Hg
0.3730 0.6270 0.0000 Hg
0.2275 0.7725 0.5000 Hg
```